[1]
# Dy2HgIr

Crystalline Dy2HgIr at its relaxed geometry (PBE, Alexandria).

The structure in POSCAR format:
```
Dy2HgIr
1.0
2.050 1.183 7.331
-2.050 1.183 7.331
0.000 -2.367 7.331
Dy Hg Ir
2 1 1
Direct
0.000 0.000 0.000
0.202 0.202 0.202
0.435 0.435 0.435
0.599 0.599 0.599
```

Offset from the most stable computed form (eV/f.u.): 0.35
Energy of formation (meV/atom): -607.6
Total magnetization (μB per cell): 0.00

[2]
# Dy2HgIr

Crystalline Dy2HgIr at its relaxed geometry (PBE, Alexandria).

The structure in POSCAR format:
```
Dy2HgIr
1.0
0.000 3.560 3.560
3.560 0.000 3.560
3.560 3.560 0.000
Dy Hg Ir
2 1 1
Direct
0.250 0.250 0.250
0.750 0.750 0.750
0.000 0.000 0.000
0.500 0.500 0.500
```

Offset from the most stable computed form (eV/f.u.): 0.28
Energy of formation (meV/atom): -624.7
Total magnetization (μB per cell): 0.00